Pr8DyCd2: optimized geometry, PBE.

```
Pr8DyCd2
1.0
-1.994 -2.103 4.426
-6.924 -4.467 -3.668
3.222 -8.370 -0.952
Pr Dy Cd
8 1 2
Direct
0.782 0.157 0.634
0.218 0.366 0.843
0.873 0.240 0.240
0.127 0.760 0.760
0.782 0.634 0.157
0.218 0.843 0.366
0.292 0.415 0.415
0.708 0.585 0.585
0.000 0.000 0.000
0.452 0.116 0.116
0.548 0.884 0.884
```

The distance to the lowest polymorph of the same formula comes out at 31.73 kJ/mol of atoms. The value obtained for the formation energy is 256 meV/atom. The density of states at the Fermi level comes out at 15.74 states/eV/cell. The space group is C2/m (12). As for the volume: 37.4 Å³/atom. The calculation puts the size of the total moment at 0.00 μB/f.u.